Compound: CrIr2Ru
Source: the Alexandria database
Functional: GGA-PBEsol
Structure: relaxed

Unit cell a=2.663 b=3.734 c=5.326 alpha=90.00 beta=90.00 gamma=90.00
Atoms (fractional coordinates):
Cr 0.000 0.000 0.000
Ir 0.500 0.500 0.245
Ir 0.500 0.500 0.755
Ru 0.000 0.000 0.500

Its crystal system is orthorhombic. As for the space group: Pmmm. For the total energy, the calculation gives -10.110 eV/atom. The calculation puts the distance to the lowest polymorph of the same formula at 94.7 meV per atom.


Compound: CrIr2Ru
Source: the Alexandria database
Functional: GGA-PBEsol
Structure: relaxed

Unit cell a=4.592 b=4.592 c=4.592 alpha=131.64 beta=131.64 gamma=70.79
Atoms (fractional coordinates):
Cr 0.000 0.000 0.000
Ir 0.500 0.500 0.000
Ir 0.750 0.250 0.500
Ru 0.250 0.750 0.500

Its crystal system is tetragonal. As for the space group: I-4m2. For the total energy, the calculation gives -10.118 eV/atom. The calculation puts the distance to the lowest polymorph of the same formula at 86.7 meV per atom.


Compound: CrIr2Ru
Source: the Alexandria database
Functional: GGA-PBEsol
Structure: relaxed

Unit cell a=4.600 b=4.600 c=4.600 alpha=131.81 beta=131.81 gamma=70.53
Atoms (fractional coordinates):
Cr 0.000 0.000 0.000
Ir 0.250 0.750 0.500
Ir 0.750 0.250 0.500
Ru 0.500 0.500 0.000

Its crystal system is tetragonal. As for the space group: I4/mmm. For the total energy, the calculation gives -10.139 eV/atom. The calculation puts the distance to the lowest polymorph of the same formula at 65.2 meV per atom.


Compound: Cr2IrRu
Source: the Alexandria database
Functional: GGA-PBEsol
Structure: relaxed

Unit cell a=4.484 b=4.484 c=4.484 alpha=131.00 beta=131.00 gamma=71.82
Atoms (fractional coordinates):
Cr 0.250 0.750 0.500
Cr 0.750 0.250 0.500
Ir 0.000 0.000 0.000
Ru 0.500 0.500 0.000

Its crystal system is tetragonal. As for the space group: I4/mmm. For the total energy, the calculation gives -10.147 eV/atom.


no.,formation energy (eV per atom),V (Å³/cell),total moment (μB/f.u.)
1,-0.09,53,0.77
2,-0.10,53,0.69
3,-0.12,53,0.79
4,-0.03,50,0.00